# 1
Material: AlOs2Rh
Method: DFT, PBE
State: optimized geometry

Its density is 14.72 g/cm3. As for the energy of formation from the pure elements: 1 meV/atom. Its density of states at the Fermi level is 5.648 states/eV per cell. The value obtained for the total moment is 0.400 Bohr magnetons per cell.

The space group is Pmmm (No. 47) and the conventional cell measures 2.8383, 4.4547 and 4.5547 Å, with angles of 90.00, 90.00 and 90.00 degrees. The inequivalent atoms are Al at (0.0000, 0.0000, 0.0000), Os at (0.0000, 0.5000, 0.5000), Os at (0.5000, 0.0000, 0.5000) and Rh at (0.5000, 0.5000, 0.0000).

***

# 2
Material: AlOsRh
Method: DFT, PBE
State: optimized geometry

Its density is 12.49 g/cm3. As for the energy of formation from the pure elements: -180 meV/atom. Its density of states at the Fermi level is 7.496 states/eV per cell. The value obtained for the total moment is 0.000 Bohr magnetons per cell. Its offset from the most stable computed form is 0.39 eV per formula unit.

The space group is Imm2 (No. 44) and the conventional cell measures 2.7581, 3.7672 and 8.1950 Å, with angles of 90.00, 90.00 and 90.00 degrees. The inequivalent atoms are Al at (0.0000, 0.0000, 0.0000), Os at (0.0000, 0.0000, 0.3373) and Rh at (0.0000, 0.0000, 0.6641).

***

# 3
Material: Al2OsRh
Method: DFT, PBE
State: optimized geometry

Its density is 10.04 g/cm3. As for the energy of formation from the pure elements: -350 meV/atom. Its density of states at the Fermi level is 3.289 states/eV per cell. The value obtained for the total moment is 0.131 Bohr magnetons per cell.

The space group is Pmmm (No. 47) and the conventional cell measures 3.0400, 3.9934 and 4.7295 Å, with angles of 90.00, 90.00 and 90.00 degrees. The inequivalent atoms are Al at (0.0000, 0.0000, 0.0000), Al at (0.5000, 0.0000, 0.5000), Os at (0.0000, 0.5000, 0.5000) and Rh at (0.5000, 0.5000, 0.0000).

***

# 4
Material: AlOs2Rh
Method: DFT, PBE
State: optimized geometry

Its density is 14.99 g/cm3. As for the energy of formation from the pure elements: -18 meV/atom. Its density of states at the Fermi level is 4.229 states/eV per cell. The value obtained for the total moment is 0.000 Bohr magnetons per cell.

The space group is P4/mmm (No. 123) and the conventional cell measures 2.7772, 2.7772 and 7.3296 Å, with angles of 90.00, 90.00 and 90.00 degrees. The inequivalent atoms are Al at (0.0000, 0.0000, 0.0000), Os at (0.5000, 0.5000, 0.2438) and Rh at (0.0000, 0.0000, 0.5000).

***

# 5
Material: Al2OsRh
Method: DFT, PBE
State: optimized geometry

Its density is 10.25 g/cm3. As for the energy of formation from the pure elements: -580 meV/atom. Its density of states at the Fermi level is 4.232 states/eV per cell. The value obtained for the total moment is 0.000 Bohr magnetons per cell.

The space group is Cm (No. 8) and the conventional cell measures 9.3973, 2.8934 and 4.3833 Å, with angles of 90.00, 109.31 and 90.00 degrees. The inequivalent atoms are Al at (0.0000, 0.0000, 0.0000), Al at (0.2345, 0.0000, 0.6061), Os at (0.4896, 0.0000, 0.5022) and Rh at (0.2453, 0.5000, 0.1041).

***

# 6
Material: ScAlOsRh
Method: DFT, PBE
State: optimized geometry

Its density is 9.96 g/cm3. As for the energy of formation from the pure elements: -717 meV/atom. Its density of states at the Fermi level is 1.631 states/eV per cell. The value obtained for the total moment is 0.000 Bohr magnetons per cell.

The space group is P4mm (No. 99) and the conventional cell measures 3.1281, 3.1281 and 6.2227 Å, with angles of 90.00, 90.00 and 90.00 degrees. The inequivalent atoms are Sc at (0.0000, 0.0000, 0.0000), Al at (0.0000, 0.0000, 0.5091), Os at (0.5000, 0.5000, 0.7333) and Rh at (0.5000, 0.5000, 0.2697).

***

# 7
Material: SrAlOs2Rh
Method: DFT, PBE
State: optimized geometry

Its density is 9.40 g/cm3. As for the energy of formation from the pure elements: 1483 meV/atom. Its density of states at the Fermi level is 7.475 states/eV per cell. The value obtained for the total moment is 0.000 Bohr magnetons per cell.

The space group is P4/mmm (No. 123) and the conventional cell measures 4.4928, 4.4928 and 5.2341 Å, with angles of 90.00, 90.00 and 90.00 degrees. The inequivalent atoms are Sr at (0.0000, 0.0000, 0.0000), Al at (0.0000, 0.0000, 0.5000), Os at (0.0000, 0.5000, 0.5000) and Rh at (0.5000, 0.5000, 0.0000).

***

# 8
Material: TaAlOsRh
Method: DFT, PBE
State: optimized geometry

Its density is 13.71 g/cm3. As for the energy of formation from the pure elements: -592 meV/atom. Its density of states at the Fermi level is 17.284 states/eV per cell. The value obtained for the total moment is 0.017 Bohr magnetons per cell.

The space group is F-43m (No. 216) and the conventional cell measures 6.2384, 6.2384 and 6.2384 Å, with angles of 90.00, 90.00 and 90.00 degrees. The inequivalent atoms are Ta at (0.0000, 0.0000, 0.0000), Al at (0.0000, 0.0000, 0.5000), Os at (0.2500, 0.2500, 0.7500) and Rh at (0.2500, 0.2500, 0.2500).

***

# 9
Material: TaAl2OsRh
Method: DFT, PBE
State: optimized geometry

Its density is 9.27 g/cm3. As for the energy of formation from the pure elements: 759 meV/atom. Its density of states at the Fermi level is 3.474 states/eV per cell. The value obtained for the total moment is 0.000 Bohr magnetons per cell.

The space group is P4/mmm (No. 123) and the conventional cell measures 4.4165, 4.4165 and 4.8504 Å, with angles of 90.00, 90.00 and 90.00 degrees. The inequivalent atoms are Ta at (0.0000, 0.0000, 0.0000), Al at (0.0000, 0.5000, 0.5000), Os at (0.5000, 0.5000, 0.0000) and Rh at (0.0000, 0.0000, 0.5000).

***

# 10
Material: AlTcOs2Rh
Method: DFT, PBE
State: optimized geometry

Its density is 12.05 g/cm3. As for the energy of formation from the pure elements: 1452 meV/atom. Its density of states at the Fermi level is 5.932 states/eV per cell. The value obtained for the total moment is 2.582 Bohr magnetons per cell.

The space group is P4/mmm (No. 123) and the conventional cell measures 4.4185, 4.4185 and 4.2931 Å, with angles of 90.00, 90.00 and 90.00 degrees. The inequivalent atoms are Al at (0.0000, 0.0000, 0.0000), Tc at (0.5000, 0.5000, 0.5000), Os at (0.0000, 0.5000, 0.0000) and Rh at (0.0000, 0.0000, 0.5000).

***

# 11
Material: TiAlOsRh
Method: DFT, PBE
State: optimized geometry

Its density is 10.69 g/cm3. As for the energy of formation from the pure elements: -828 meV/atom. Its density of states at the Fermi level is 1.167 states/eV per cell. The value obtained for the total moment is 0.000 Bohr magnetons per cell.

The space group is P4mm (No. 99) and the conventional cell measures 3.0783, 3.0783 and 6.0338 Å, with angles of 90.00, 90.00 and 90.00 degrees. The inequivalent atoms are Ti at (0.0000, 0.0000, 0.0000), Al at (0.0000, 0.0000, 0.4918), Os at (0.5000, 0.5000, 0.2417) and Rh at (0.5000, 0.5000, 0.7379).

***

# 12
Material: AlOs2Ru
Method: DFT, PBE
State: optimized geometry

Its density is 15.11 g/cm3. As for the energy of formation from the pure elements: -49 meV/atom. Its density of states at the Fermi level is 3.708 states/eV per cell. The value obtained for the total moment is 0.000 Bohr magnetons per cell.

The space group is P4/mmm (No. 123) and the conventional cell measures 2.8382, 2.8382 and 6.9396 Å, with angles of 90.00, 90.00 and 90.00 degrees. The inequivalent atoms are Al at (0.0000, 0.0000, 0.0000), Os at (0.5000, 0.5000, 0.2388) and Ru at (0.0000, 0.0000, 0.5000).

***

# 13
Material: AlOs2Ru
Method: DFT, PBE
State: optimized geometry

Its density is 14.79 g/cm3. As for the energy of formation from the pure elements: 125 meV/atom. Its density of states at the Fermi level is 5.680 states/eV per cell. The value obtained for the total moment is 0.001 Bohr magnetons per cell.

The space group is P4/mmm (No. 123) and the conventional cell measures 3.7881, 3.7881 and 3.9776 Å, with angles of 90.00, 90.00 and 90.00 degrees. The inequivalent atoms are Al at (0.0000, 0.0000, 0.0000), Os at (0.0000, 0.5000, 0.5000) and Ru at (0.5000, 0.5000, 0.0000).

***

# 14
Material: AlOs2Ru
Method: DFT, PBE
State: optimized geometry

Its density is 14.59 g/cm3. As for the energy of formation from the pure elements: 267 meV/atom. Its density of states at the Fermi level is 9.183 states/eV per cell. The value obtained for the total moment is 2.241 Bohr magnetons per cell.

The space group is Cmm2 (No. 35) and the conventional cell measures 2.8284, 4.6770 and 8.7490 Å, with angles of 90.00, 90.00 and 90.00 degrees. The inequivalent atoms are Al at (0.0000, 0.0000, 0.0000), Os at (0.0000, 0.0000, 0.5043), Os at (0.0000, 0.5000, 0.2446) and Ru at (0.0000, 0.5000, 0.7628).

***

# 15
Material: Al2Os2Ru
Method: DFT, PBE
State: optimized geometry

Its density is 11.02 g/cm3. As for the energy of formation from the pure elements: 441 meV/atom. Its density of states at the Fermi level is 9.303 states/eV per cell. The value obtained for the total moment is 0.734 Bohr magnetons per cell. Its offset from the most stable computed form is 2.05 eV per formula unit.

The space group is I4/mmm (No. 139) and the conventional cell measures 3.5112, 3.5112 and 13.0892 Å, with angles of 90.00, 90.00 and 90.00 degrees. The inequivalent atoms are Al at (0.0000, 0.0000, 0.0971), Os at (0.0000, 0.5000, 0.2500) and Ru at (0.0000, 0.0000, 0.5000).